# InFeSb

A relaxed InFeSb crystal (PBE-GGA, Alexandria via LeMat-Bulk).

For the energy above the lowest structure with this stoichiometry, the calculation gives 23.3 kJ/mol of atoms. Its formation energy without anion corrections is 0.37 eV per atom. The crystal system is trigonal.

The space group is P3m1 (No. 156) and the conventional cell measures 4.4065, 4.4065 and 4.0154 Å, with angles of 90.00, 90.00 and 120.00 degrees. The distinct sites, in fractional coordinates, are In at (0.0000, 0.0000, 0.0000), Fe at (0.3333, 0.6667, 0.5092) and Sb at (0.6667, 0.3333, 0.4993).